[1]
{"formula": "Zn2Co7", "functional": "PBE-GGA", "state": "relaxed", "lattice_angstrom": [[-1.476, 2.003, -0.256], [-0.993, -2.217, 0.594], [3.546, 6.445, 29.973]], "species": ["Co", "Co", "Co", "Co", "Co", "Co", "Co", "Zn", "Zn"], "frac_coords": [[0.000, 0.000, 0.370], [0.333, 0.667, 0.306], [0.333, 0.667, 0.694], [0.667, 0.333, 0.631], [0.333, 0.667, 0.500], [0.000, 0.000, 0.565], [0.667, 0.333, 0.435], [0.000, 0.000, 0.766], [0.667, 0.333, 0.234]], "total_magnetization_mub_per_cell": 11.145, "rho_g_cm3": 5.4, "formation_energy_ev_per_atom": 0.07, "vol_a3_per_cell": 167.2, "e_tot_ev_per_atom": -5.739}

[2]
{"formula": "Zn2Co", "functional": "PBE-GGA", "state": "relaxed", "lattice_angstrom": [[4.495, 0.000, 0.000], [0.000, 7.869, 0.000], [0.000, 0.000, 4.235]], "species": ["Zn", "Zn", "Zn", "Zn", "Zn", "Zn", "Zn", "Zn", "Co", "Co", "Co", "Co"], "frac_coords": [[0.334, 0.333, 0.500], [0.514, 0.158, 0.000], [0.499, 0.833, 0.000], [0.319, 0.008, 0.500], [0.843, 0.833, 0.500], [0.319, 0.658, 0.500], [0.514, 0.508, 0.000], [0.990, 0.333, 0.000], [0.830, 0.167, 0.500], [0.003, 0.000, 0.000], [0.830, 0.500, 0.500], [0.003, 0.667, 0.000]], "total_magnetization_mub_per_cell": 4.153, "rho_g_cm3": 8.4, "formation_energy_ev_per_atom": 0.01, "vol_a3_per_cell": 149.8, "e_tot_ev_per_atom": -3.201}

What did the second record say?
{"formula": "Zn2Co", "functional": "PBE-GGA", "state": "relaxed", "lattice_angstrom": [[4.495, 0.000, 0.000], [0.000, 7.869, 0.000], [0.000, 0.000, 4.235]], "species": ["Zn", "Zn", "Zn", "Zn", "Zn", "Zn", "Zn", "Zn", "Co", "Co", "Co", "Co"], "frac_coords": [[0.334, 0.333, 0.500], [0.514, 0.158, 0.000], [0.499, 0.833, 0.000], [0.319, 0.008, 0.500], [0.843, 0.833, 0.500], [0.319, 0.658, 0.500], [0.514, 0.508, 0.000], [0.990, 0.333, 0.000], [0.830, 0.167, 0.500], [0.003, 0.000, 0.000], [0.830, 0.500, 0.500], [0.003, 0.667, 0.000]], "total_magnetization_mub_per_cell": 4.153, "rho_g_cm3": 8.4, "formation_energy_ev_per_atom": 0.01, "vol_a3_per_cell": 149.8, "e_tot_ev_per_atom": -3.201}